Computed, not measured: a crystal of PtC5 relaxed with PBEsol at the SCAN level of DFT.

Summary:
Energy of formation from the pure elements ... 737 meV/atom
Relative energy among the computed polymorphs ... 0.0 kJ per mole of atoms
Space group ... Amm2, No. 38
Total DFT energy (no corrections) ... -232.5 eV/cell

Geometry as POSCAR:
```
PtC5
1.0
2.577 0.000 0.000
0.000 2.559 0.000
0.000 0.000 13.678
Pt C
2 10
direct
0.000 0.000 0.000 Pt
0.000 0.500 0.500 Pt
0.000 0.000 0.259 C
0.000 0.000 0.693 C
0.000 0.500 0.193 C
0.000 0.500 0.759 C
0.500 0.000 0.325 C
0.500 0.000 0.631 C
0.500 0.000 0.886 C
0.500 0.500 0.131 C
0.500 0.500 0.386 C
0.500 0.500 0.825 C
```